Version P
A geometry-optimized CsRb7Au3 structure, computed with PBE-GGA.

a = 8.335 Å, b = 10.015 Å, c = 10.015 Å
α = 120.00°, β = 90.00°, γ = 90.00°
Fractional coordinates of all 11 atoms:
Au 0.787 0.501 0.003
Au 0.787 0.501 0.499
Au 0.787 0.997 0.499
Rb 0.021 0.167 0.333
Rb 0.543 0.340 0.170
Rb 0.021 0.667 0.833
Rb 0.021 0.167 0.833
Rb 0.543 0.830 0.170
Rb 0.022 0.667 0.333
Rb 0.543 0.830 0.660
Cs 0.544 0.333 0.667

Summary:
Its space group is P3m1. The density of states at the Fermi level is 0.880 states/eV/atom. As for the magnetic moment: 0.312 Bohr magnetons per cell.


Version Q
A geometry-optimized CsRb7Au3 structure, computed with PBE-GGA.

a = 10.050 Å, b = 10.024 Å, c = 9.667 Å
α = 73.84°, β = 58.68°, γ = 59.91°
Fractional coordinates of all 11 atoms:
Rb 0.281 0.590 0.848
Rb 0.284 0.078 0.849
Rb 0.860 0.919 0.362
Rb 0.788 0.078 0.849
Rb 0.351 0.425 0.367
Rb 0.857 0.425 0.367
Rb 0.353 0.925 0.369
Au 0.073 0.756 0.603
Au 0.073 0.248 0.606
Au 0.568 0.756 0.603
Cs 0.786 0.582 0.847

Summary:
Its space group is Cm. The density of states at the Fermi level is 0.674 states/eV/atom. As for the magnetic moment: 0.000 Bohr magnetons per cell.


Consider the structures shown above. The most stable of them is version Q.